An optimized crystal structure of Ag7Sb9O25. Source: the Alexandria database, functional PBEsol.

POSCAR file:
```
Ag7Sb9O25
1.0
3.6236 2.0921 11.9136
-3.6236 2.0921 11.9136
0.0000 -4.1842 11.9136
Ag Sb O
7 9 25
Cartesian
0.0000 0.0000 0.0000
0.0000 -1.6832 14.9721
-1.4577 0.8416 14.9721
-1.4477 -0.8358 20.7075
1.4577 0.8416 14.9721
1.4477 -0.8358 20.7074
0.0000 1.6717 20.7074
0.0000 -2.0496 5.9015
-1.7750 1.0248 5.9015
0.0000 0.0000 8.8802
1.7750 1.0248 5.9015
0.0000 -2.0917 23.8013
-1.8115 1.0459 23.8013
0.0000 0.0000 18.3230
0.0000 0.0000 26.8053
1.8115 1.0459 23.8013
-1.4556 -0.8404 9.9385
0.0000 -1.6727 7.8379
-1.4486 0.8364 7.8379
-2.2448 -1.2960 18.3641
0.0000 0.0000 5.5268
0.0000 -1.6934 12.3547
-1.4665 0.8467 12.3547
0.0000 -1.8147 17.3773
-1.5716 0.9074 17.3773
-1.4662 -0.8465 23.3284
1.4556 -0.8404 9.9385
0.0000 1.6808 9.9385
1.4486 0.8364 7.8379
-1.5038 -0.8682 27.8042
0.0000 -1.6802 25.7505
-1.4551 0.8401 25.7505
1.4665 0.8467 12.3547
2.2448 -1.2960 18.3641
0.0000 2.5921 18.3641
1.5716 0.9074 17.3773
1.4662 -0.8465 23.3284
0.0000 1.6931 23.3284
1.5038 -0.8682 27.8042
0.0000 1.7364 27.8042
1.4551 0.8401 25.7505
```

Summary:
Total magnetization ... 0.00 μB per cell
Raw formation energy ... -1023 meV/atom